[1]
Compound: GaHRh3
Source: Alexandria
Functional: GGA-PBE
Structure: optimized geometry

Computed properties:
SG: No. 227

Cell lengths 7.2545, 7.2545, 7.2545 Å; angles 60.00, 60.00, 60.00 degrees
Last column: nearest neighbours and their distance in Å.
Sites, in units of the cell vectors:
Ga  0.0000  0.0000  0.0000  6 Rh 2.61
Ga  0.0000  0.0000  0.5000  6 Rh 2.61
Ga  0.0000  0.5000  0.0000  6 Rh 2.61
Ga  0.5000  0.0000  0.0000  6 Rh 2.61
H  0.0000  0.5000  0.5000  6 Rh 1.94
H  0.5000  0.0000  0.5000  6 Rh 1.94
H  0.5000  0.5000  0.0000  6 Rh 1.94
H  0.5000  0.5000  0.5000  6 Rh 1.94
Rh  0.1835  0.1835  0.5665  2 H 1.94
Rh  0.1835  0.5665  0.1835  2 H 1.94
Rh  0.1835  0.5665  0.5665  2 H 1.94
Rh  0.4335  0.4335  0.8165  2 H 1.94
Rh  0.4335  0.8165  0.4335  2 H 1.94
Rh  0.4335  0.8165  0.8165  2 H 1.94
Rh  0.5665  0.1835  0.1835  2 H 1.94
Rh  0.5665  0.1835  0.5665  2 H 1.94
Rh  0.5665  0.5665  0.1835  2 H 1.94
Rh  0.8165  0.4335  0.4335  2 H 1.94
Rh  0.8165  0.4335  0.8165  2 H 1.94
Rh  0.8165  0.8165  0.4335  2 H 1.94

---

[2]
Compound: MnRe3
Source: Alexandria
Functional: GGA-PBE
Structure: optimized geometry

Computed properties:
SG: No. 123
E_form in eV/atom: 0.08

Cell lengths 2.7201, 2.7201, 7.5840 Å; angles 90.00, 90.00, 90.00 degrees
Last column: nearest neighbours and their distance in Å.
Sites, in units of the cell vectors:
Mn  0.0000  0.0000  0.0000  8 Re 2.60, 4 Mn 2.72
Re  0.0000  0.0000  0.5000  12 Re 2.72-2.81
Re  0.5000  0.5000  0.2304  4 Mn 2.60, 8 Re 2.72-2.81
Re  0.5000  0.5000  0.7696  4 Mn 2.60, 8 Re 2.72-2.81

---

[3]
Compound: K3Sc2BiTe6
Source: Alexandria
Functional: GGA-PBE
Structure: optimized geometry

Computed properties:
SG: No. 12
Uncorrected formation energy in eV per atom: -1.0399

Cell lengths 7.6551, 7.6551, 8.5864 Å; angles 98.57, 98.57, 120.02 degrees
Last column: nearest neighbours and their distance in Å.
Sites, in units of the cell vectors:
K  0.0000  0.0000  0.0000  6 Te 3.46-3.58
K  0.3387  0.6613  0.0000  6 Te 3.49-3.59
K  0.6613  0.3387  0.0000  6 Te 3.49-3.59
Sc  0.1675  0.8325  0.5000  6 Te 2.98-2.99
Sc  0.8325  0.1675  0.5000  6 Te 2.98-2.99
Bi  0.5000  0.5000  0.5000  6 Te 3.14-3.15
Te  0.0829  0.4325  0.2983  2 Sc 2.98-2.99, 1 Bi 3.15
Te  0.2167  0.2167  0.6999  2 Sc 2.99, 1 Bi 3.14
Te  0.4325  0.0829  0.2983  2 Sc 2.98-2.99, 1 Bi 3.15
Te  0.5675  0.9171  0.7017  2 Sc 2.98-2.99, 1 Bi 3.15
Te  0.7833  0.7833  0.3001  2 Sc 2.99, 1 Bi 3.14
Te  0.9171  0.5675  0.7017  2 Sc 2.98-2.99, 1 Bi 3.15

---

[4]
Compound: Pm3InGa2Au6
Source: Alexandria
Functional: GGA-PBE
Structure: optimized geometry

Computed properties:
SG: No. 164
E_form in eV/atom: -0.48

Cell lengths 6.1296, 6.1296, 8.6409 Å; angles 90.00, 90.00, 120.00 degrees
Last column: nearest neighbours and their distance in Å.
Sites, in units of the cell vectors:
Pm  0.0000  0.0000  0.0000  6 Au 2.99
Pm  0.3333  0.6667  0.6288  9 Au 3.20-3.53, 1 Ga 3.26
Pm  0.6667  0.3333  0.3712  9 Au 3.20-3.53, 1 Ga 3.26
In  0.0000  0.0000  0.5000  6 Au 2.77
Ga  0.3333  0.6667  0.0058  3 Au 2.78
Ga  0.6667  0.3333  0.9942  3 Au 2.78
Au  0.1793  0.3586  0.2666  1 In 2.77, 1 Ga 2.78, 2 Au 2.83, 1 Pm 2.99
Au  0.1793  0.8207  0.2666  1 In 2.77, 1 Ga 2.78, 2 Au 2.83, 1 Pm 2.99
Au  0.3586  0.1793  0.7334  1 In 2.77, 1 Ga 2.78, 2 Au 2.83, 1 Pm 2.99
Au  0.6414  0.8207  0.2666  1 In 2.77, 1 Ga 2.78, 2 Au 2.83, 1 Pm 2.99
Au  0.8207  0.1793  0.7334  1 In 2.77, 1 Ga 2.78, 2 Au 2.83, 1 Pm 2.99
Au  0.8207  0.6414  0.7334  1 In 2.77, 1 Ga 2.78, 2 Au 2.83, 1 Pm 2.99

---

[5]
Compound: Tb3Sm5Ru2
Source: Alexandria
Functional: GGA-PBE
Structure: optimized geometry

Computed properties:
SG: No. 72
E_form in eV/atom: 0.02

Cell lengths 10.0187, 10.0187, 10.0187 Å; angles 103.40, 89.95, 140.28 degrees
Last column: nearest neighbours and their distance in Å.
Sites, in units of the cell vectors:
Tb  0.1854  0.2442  0.4295  1 Ru 2.90
Tb  0.2500  0.2500  0.0000  4 Ru 3.09, 2 Tb 3.40
Tb  0.3146  0.7442  0.0588  1 Ru 2.90
Tb  0.6854  0.2558  0.9412  1 Ru 2.90
Tb  0.7500  0.7500  0.0000  4 Ru 3.09, 2 Tb 3.40
Tb  0.8146  0.7558  0.5705  1 Ru 2.90
Sm  0.0212  0.7500  0.2712  2 Ru 2.73
Sm  0.0605  0.7150  0.7755  1 Ru 2.56
Sm  0.2500  0.7500  0.5000  8 Sm 3.24-3.40
Sm  0.4395  0.2150  0.6546  1 Ru 2.56
Sm  0.4788  0.7500  0.7288  2 Ru 2.73
Sm  0.5212  0.2500  0.2712  2 Ru 2.73
Sm  0.5605  0.7850  0.3454  1 Ru 2.56
Sm  0.7500  0.2500  0.5000  8 Sm 3.24-3.40
Sm  0.9395  0.2850  0.2245  1 Ru 2.56
Sm  0.9788  0.2500  0.7288  2 Ru 2.73
Ru  0.1551  0.8907  0.0458  3 Sm 2.56-2.73
Ru  0.3449  0.3907  0.7355  3 Sm 2.56-2.73
Ru  0.6551  0.6093  0.2645  3 Sm 2.56-2.73
Ru  0.8449  0.1093  0.9542  3 Sm 2.56-2.73

---

[6]
Compound: ScHgCl2
Source: Alexandria
Functional: GGA-PBE
Structure: optimized geometry

Computed properties:
SG: No. 10
Uncorrected formation energy in eV per atom: -1.2404

Cell lengths 3.6266, 3.6155, 10.2199 Å; angles 90.00, 90.57, 90.00 degrees
Last column: nearest neighbours and their distance in Å.
Sites, in units of the cell vectors:
Sc  0.0000  0.0000  0.0000  4 Cl 2.49
Hg  0.5000  0.0000  0.5000  4 Hg 3.62-3.63
Cl  0.0043  0.5000  0.1674  2 Sc 2.49
Cl  0.9957  0.5000  0.8326  2 Sc 2.49

---

[7]
Compound: LiMnBe
Source: Alexandria
Functional: GGA-PBE
Structure: optimized geometry

Computed properties:
SG: No. 156
E_form in eV/atom: 0.23

Cell lengths 2.4087, 2.4087, 6.3599 Å; angles 90.00, 90.00, 120.00 degrees
Last column: nearest neighbours and their distance in Å.
Sites, in units of the cell vectors:
Li  0.0000  0.0000  0.0000  6 Li 2.41, 3 Be 2.60, 3 Mn 2.64
Mn  0.6667  0.3333  0.3536  3 Be 2.36, 6 Mn 2.41, 3 Li 2.64
Be  0.3333  0.6667  0.6539  3 Mn 2.36, 6 Be 2.41, 3 Li 2.60

---

[8]
Compound: TbPm5Dy5
Source: Alexandria
Functional: GGA-PBE
Structure: optimized geometry

Computed properties:
SG: No. 2
E_form in eV/atom: 0.14

Cell lengths 6.9347, 6.9442, 8.5830 Å; angles 75.08, 75.76, 70.81 degrees
Last column: nearest neighbours and their distance in Å.
Sites, in units of the cell vectors:
Tb  0.0000  0.0000  0.0000  4 Dy 3.26-3.47, 4 Pm 3.27-3.47
Pm  0.0000  0.5000  0.0000  2 Tb 3.47, 4 Pm 3.54-3.57, 4 Dy 3.63-3.69
Pm  0.1504  0.1427  0.3611  4 Pm 3.44-3.61, 5 Dy 3.47-3.68
Pm  0.3576  0.7547  0.7335  1 Tb 3.27, 5 Dy 3.36-3.65, 3 Pm 3.54-3.61
Pm  0.6424  0.2453  0.2665  1 Tb 3.27, 5 Dy 3.36-3.65, 3 Pm 3.54-3.61
Pm  0.8496  0.8573  0.6389  4 Pm 3.44-3.61, 5 Dy 3.47-3.68
Dy  0.2141  0.6505  0.2895  1 Tb 3.26, 3 Pm 3.36-3.58, 3 Dy 3.46-3.55
Dy  0.3232  0.2947  0.6436  4 Dy 3.46-3.55, 5 Pm 3.47-3.63, 1 Tb 3.87
Dy  0.5000  0.0000  0.0000  4 Dy 3.47-3.69, 2 Tb 3.47, 4 Pm 3.57-3.65
Dy  0.6768  0.7053  0.3564  4 Dy 3.46-3.55, 5 Pm 3.47-3.63, 1 Tb 3.87
Dy  0.7859  0.3495  0.7105  1 Tb 3.26, 3 Pm 3.36-3.58, 3 Dy 3.46-3.55

---

[9]
Compound: GeTeOs
Source: Alexandria
Functional: GGA-PBE
Structure: optimized geometry

Computed properties:
SG: No. 6
Uncorrected formation energy in eV per atom: 0.2111

Cell lengths 5.7986, 3.0987, 6.8202 Å; angles 90.00, 98.43, 90.00 degrees
Last column: nearest neighbours and their distance in Å.
Sites, in units of the cell vectors:
Ge  0.0000  0.0000  0.0000  4 Os 2.62-2.63, 1 Ge 2.70
Ge  0.4556  0.0000  0.9603  4 Os 2.60-2.62, 1 Ge 2.70
Te  0.4166  0.5000  0.4300  2 Os 2.67-2.68
Te  0.9329  0.0000  0.5144  4 Os 2.78-2.81, 2 Te 3.10
Os  0.7109  0.5000  0.7691  4 Ge 2.62-2.63, 3 Te 2.67-2.78, 1 Os 2.83
Os  0.7401  0.5000  0.1874  4 Ge 2.60-2.62, 3 Te 2.68-2.81, 1 Os 2.83

---

[10]
Compound: CaGe2Pd5
Source: Alexandria
Functional: GGA-PBE
Structure: optimized geometry

Computed properties:
SG: No. 71
E_form in eV/atom: -0.62

Cell lengths 6.5123, 6.5123, 6.5123 Å; angles 145.17, 113.07, 77.72 degrees
Last column: nearest neighbours and their distance in Å.
Sites, in units of the cell vectors:
Ca  0.0000  0.0000  0.0000  4 Ge 3.25, 10 Pd 3.27-3.59
Ge  0.2560  0.7560  0.5000  7 Pd 2.44-2.61
Ge  0.7440  0.2440  0.5000  7 Pd 2.44-2.61
Pd  0.1560  0.3539  0.8021  3 Ge 2.44-2.61
Pd  0.4483  0.6461  0.8021  3 Ge 2.44-2.61
Pd  0.5000  0.0000  0.5000  2 Ge 2.47
Pd  0.5517  0.3539  0.1979  3 Ge 2.44-2.61
Pd  0.8440  0.6461  0.1979  3 Ge 2.44-2.61

---

[11]
Compound: Tl3CrTe6Pd2
Source: Alexandria
Functional: GGA-PBE
Structure: optimized geometry

Computed properties:
SG: No. 12
Uncorrected formation energy in eV per atom: -0.2525

Cell lengths 7.1541, 7.1541, 7.9527 Å; angles 98.48, 98.48, 119.92 degrees
Last column: nearest neighbours and their distance in Å.
Sites, in units of the cell vectors:
Tl  0.0000  0.0000  0.0000  6 Te 3.38-3.39
Tl  0.3353  0.6647  0.0000  6 Te 3.36-3.41
Tl  0.6647  0.3353  0.0000  6 Te 3.36-3.41
Cr  0.5000  0.5000  0.5000  6 Te 2.75-2.76
Te  0.1070  0.4395  0.3151  1 Cr 2.76, 2 Pd 2.77
Te  0.2302  0.2302  0.6850  1 Cr 2.75, 2 Pd 2.77
Te  0.4395  0.1070  0.3151  1 Cr 2.76, 2 Pd 2.77
Te  0.5605  0.8930  0.6849  1 Cr 2.76, 2 Pd 2.77
Te  0.7698  0.7698  0.3150  1 Cr 2.75, 2 Pd 2.77
Te  0.8930  0.5605  0.6849  1 Cr 2.76, 2 Pd 2.77
Pd  0.1663  0.8337  0.5000  6 Te 2.77
Pd  0.8337  0.1663  0.5000  6 Te 2.77

---

no.,total moment (μB per cell),uncorrected energy (eV per atom)
1,0.000,-5.76
2,0.001,-11.54
3,0.000,-4.26
4,0.000,-4.04
5,0.000,-5.58
6,0.001,-3.82
7,0.294,-4.71
8,0.000,-4.53
9,0.000,-6.12
10,0.000,-5.27
11,3.111,-4.08